(1)
First-principles (PBE-GGA) data for a geometry-optimized Tm4MgCuRu2 structure, as listed in the Alexandria database.

The formation energy is -0.33 eV per atom.

The space group is R-3m (No. 166, hexagonal axes) and the conventional cell measures 4.8644, 4.8644 and 23.9229 Å, with angles of 90.00, 90.00 and 120.00 degrees. The distinct sites, in fractional coordinates, are Tm at (0.0000, 0.0000, 0.1204), Tm at (0.0000, 0.0000, 0.3712), Mg at (0.0000, 0.0000, 0.5000), Cu at (0.0000, 0.0000, 0.0000) and Ru at (0.0000, 0.0000, 0.2479).

(2)
First-principles (PBE-GGA) data for a geometry-optimized SrTl2Pb structure, as listed in the Alexandria database.

The formation energy is -0.25 eV per atom.

The space group is C2/m (No. 12) and the conventional cell measures 11.605, 4.247 and 5.650 Å, with angles of 90.00, 110.52 and 90.00 degrees. The distinct sites, in fractional coordinates, are Sr at (0.000, 0.000, 0.000), Tl at (0.239, 0.000, 0.731) and Pb at (0.000, 0.500, 0.500).

(3)
First-principles (PBE-GGA) data for a geometry-optimized Cs2GaHg2 structure, as listed in the Alexandria database.

The formation energy is 0.08 eV per atom.

The space group is P4/mbm (No. 127) and the conventional cell measures 10.703, 10.703 and 4.039 Å, with angles of 90.00, 90.00 and 90.00 degrees. The distinct sites, in fractional coordinates, are Cs at (0.188, 0.312, 0.000), Ga at (0.000, 0.000, 0.000) and Hg at (0.104, 0.604, 0.500).

(4)
First-principles (PBE-GGA) data for a geometry-optimized KTi3Pb structure, as listed in the Alexandria database.

The formation energy is 1.79 eV per atom.

The space group is Pm-3m (No. 221) and the conventional cell measures 4.697, 4.697 and 4.697 Å, with angles of 90.00, 90.00 and 90.00 degrees. The distinct sites, in fractional coordinates, are K at (0.000, 0.000, 0.000), Ti at (0.000, 0.000, 0.500) and Pb at (0.500, 0.500, 0.500).

(5)
First-principles (PBE-GGA) data for a geometry-optimized LiZn2TcH8 structure, as listed in the Alexandria database.

As for the total DFT energy (no corrections): -41.61 eV per formula unit.

The space group is C2/m (No. 12) and the conventional cell measures 9.150, 3.210 and 6.763 Å, with angles of 90.00, 101.75 and 90.00 degrees. The distinct sites, in fractional coordinates, are Li at (0.000, 0.000, 0.000), Zn at (0.193, 0.500, 0.309), Tc at (0.000, 0.000, 0.500), H at (0.064, 0.500, 0.624), H at (0.101, 0.000, 0.307), H at (0.123, 0.000, 0.734) and H at (0.133, 0.500, 0.062).

(6)
First-principles (PBE-GGA) data for a geometry-optimized CoReTe2 structure, as listed in the Alexandria database.

The uncorrected formation energy is 1.8 eV/f.u.

The space group is R3m (No. 160, hexagonal axes) and the conventional cell measures 3.2344, 3.2344 and 29.1500 Å, with angles of 90.00, 90.00 and 120.00 degrees. The distinct sites, in fractional coordinates, are Co at (0.0000, 0.0000, 0.0000), Re at (0.0000, 0.0000, 0.7288), Te at (0.0000, 0.0000, 0.2730) and Te at (0.0000, 0.0000, 0.4624).

(7)
First-principles (PBE-GGA) data for a geometry-optimized Mg2ZnCdS4 structure, as listed in the Alexandria database.

The uncorrected formation energy is -8.5 eV/f.u.

The space group is I-42m (No. 121) and the conventional cell measures 5.712, 5.712 and 11.274 Å, with angles of 90.00, 90.00 and 90.00 degrees. The distinct sites, in fractional coordinates, are Mg at (0.000, 0.500, 0.250), Zn at (0.000, 0.000, 0.000), Cd at (0.000, 0.000, 0.500) and S at (0.235, 0.235, 0.874).

(8)
First-principles (PBE-GGA) data for a geometry-optimized Dy8Er3Tm3 structure, as listed in the Alexandria database.

The formation energy is 0.12 eV per atom.

The space group is Immm (No. 71) and the conventional cell measures 5.549, 10.657 and 14.757 Å, with angles of 90.00, 90.00 and 90.00 degrees. The distinct sites, in fractional coordinates, are Dy at (0.000, 0.158, 0.222), Dy at (0.000, 0.340, 0.397), Er at (0.000, 0.000, 0.500), Er at (0.000, 0.500, 0.181), Tm at (0.000, 0.000, 0.000) and Tm at (0.000, 0.299, 0.000).

(9)
First-principles (PBE-GGA) data for a geometry-optimized Gd2SnRh structure, as listed in the Alexandria database.

The formation energy is -0.63 eV per atom.

The space group is Fm-3m (No. 225) and the conventional cell measures 7.287, 7.287 and 7.287 Å, with angles of 90.00, 90.00 and 90.00 degrees. The distinct sites, in fractional coordinates, are Gd at (0.250, 0.250, 0.250), Sn at (0.000, 0.000, 0.000) and Rh at (0.000, 0.000, 0.500).

(10)
First-principles (PBE-GGA) data for a geometry-optimized Rb2CdCuAs2 structure, as listed in the Alexandria database.

The formation energy is -0.26 eV per atom.

The space group is Ibam (No. 72) and the conventional cell measures 6.249, 17.386 and 6.301 Å, with angles of 90.00, 90.00 and 90.00 degrees. The distinct sites, in fractional coordinates, are Rb at (0.238, 0.170, 0.000), Cd at (0.000, 0.000, 0.250), Cu at (0.000, 0.500, 0.250) and As at (0.218, 0.414, 0.000).

(11)
First-principles (PBE-GGA) data for a geometry-optimized PuSc2Rh9 structure, as listed in the Alexandria database.

The formation energy is -0.54 eV per atom.

The space group is P4/mmm (No. 123) and the conventional cell measures 3.966, 3.966 and 11.896 Å, with angles of 90.00, 90.00 and 90.00 degrees. The distinct sites, in fractional coordinates, are Pu at (0.000, 0.000, 0.000), Sc at (0.000, 0.000, 0.338), Rh at (0.000, 0.500, 0.171), Rh at (0.000, 0.500, 0.500), Rh at (0.500, 0.500, 0.000) and Rh at (0.500, 0.500, 0.336).

(12)
First-principles (PBE-GGA) data for a geometry-optimized In2TcNi structure, as listed in the Alexandria database.

The formation energy is 0.27 eV per atom.

The space group is R-3m (No. 166, hexagonal axes) and the conventional cell measures 3.0445, 3.0445 and 25.6597 Å, with angles of 90.00, 90.00 and 120.00 degrees. The distinct sites, in fractional coordinates, are In at (0.0000, 0.0000, 0.2461), Tc at (0.0000, 0.0000, 0.0000) and Ni at (0.0000, 0.0000, 0.5000).